! PBE PAuN, relaxed; values from VASP
! Raw formation energy in eV/atom: 0.224
! Total magnetic moment in μB per atom: 0.000
! Crystal system: triclinic
! Symmetry: No. 2
! E_tot in eV per formula unit: -16.342
&SYSTEM
  ibrav = 0, nat = 6, ntyp = 3
/
ATOMIC_SPECIES
P 30.97 P.upf
Au 196.97 Au.upf
N 14.01 N.upf
CELL_PARAMETERS angstrom
-1.7489 -2.3286 0.3148
4.0262 -1.4721 -2.1422
0.0643 1.0628 7.8884
ATOMIC_POSITIONS crystal
P 0.8907 0.2799 0.5462
P 0.1093 0.7201 0.4538
Au 0.0975 0.6898 0.8963
Au 0.9025 0.3102 0.1037
N 0.7033 0.9050 0.5770
N 0.2967 0.0950 0.4230